No. 1
This record from Alexandria describes a relaxed LiLaS crystal. The functional is GGA-PBE.

It has space group R3m (No. 160, hexagonal axes), with a = 4.0179 Å, b = 4.0179 Å, c = 14.6678 Å, α = 90.00°, β = 90.00° and γ = 120.00°. The inequivalent atoms are Li at (0.0000, 0.0000, 0.0000), La at (0.0000, 0.0000, 0.5029) and S at (0.0000, 0.0000, 0.3051).

The value obtained for the uncorrected formation energy is -1.23 eV per atom. For the magnetic moment, the calculation gives 0.0 μB per cell. The calculation puts the offset from the most stable computed form at 3.00 kJ/mol of atoms. As for the total DFT energy (no corrections): -44.0 eV for the cell shown.

=====

No. 2
This record from Alexandria describes a relaxed Li2LaSbS4 crystal. The functional is GGA-PBE.

It has space group Imma (No. 74), with a = 7.8169 Å, b = 8.1102 Å, c = 11.1905 Å, α = 90.00°, β = 90.00° and γ = 90.00°. The inequivalent atoms are Li at (0.0000, 0.0000, 0.0000), Li at (0.2500, 0.2500, 0.2500), La at (0.0000, 0.0000, 0.5000), Sb at (0.2500, 0.2500, 0.7500), S at (0.0000, 0.0043, 0.7565) and S at (0.2417, 0.2500, 0.9983).

The value obtained for the uncorrected formation energy is -1.23 eV per atom. For the magnetic moment, the calculation gives 0.0 μB per cell. As for the total DFT energy (no corrections): -157.0 eV for the cell shown.

=====

No. 3
This record from Alexandria describes a relaxed Li3La3SbS8 crystal. The functional is GGA-PBE.

It has space group R-3m (No. 166, hexagonal axes), with a = 8.2355 Å, b = 8.2355 Å, c = 18.3543 Å, α = 90.00°, β = 90.00° and γ = 120.00°. The inequivalent atoms are Li at (0.0000, 0.5000, 0.0000), La at (0.0000, 0.5000, 0.5000), Sb at (0.0000, 0.0000, 0.5000), S at (0.0000, 0.0000, 0.2516) and S at (0.0282, 0.5141, 0.2492).

The value obtained for the uncorrected formation energy is -1.49 eV per atom. For the magnetic moment, the calculation gives 0.0 μB per cell. As for the total DFT energy (no corrections): -240.1 eV for the cell shown.

=====

No. 4
This record from Alexandria describes a relaxed LiLa2SbS6 crystal. The functional is GGA-PBE.

It has space group P2_1/c (No. 14), with a = 6.6145 Å, b = 7.2668 Å, c = 11.4244 Å, α = 90.00°, β = 124.27° and γ = 90.00°. The inequivalent atoms are Li at (0.0000, 0.0000, 0.0000), La at (0.2135, 0.1010, 0.7495), Sb at (0.5000, 0.0000, 0.5000), S at (0.1298, 0.1792, 0.4455), S at (0.2687, 0.6940, 0.4462) and S at (0.3683, 0.0282, 0.2485).

The value obtained for the uncorrected formation energy is -1.32 eV per atom. For the magnetic moment, the calculation gives 0.0 μB per cell. As for the total DFT energy (no corrections): -107.8 eV for the cell shown.

=====

No. 5
This record from Alexandria describes a relaxed Li2LaSbS crystal. The functional is GGA-PBE.

It has space group P4/mmm (No. 123), with a = 4.6826 Å, b = 4.6826 Å, c = 5.7312 Å, α = 90.00°, β = 90.00° and γ = 90.00°. The inequivalent atoms are Li at (0.0000, 0.5000, 0.0000), La at (0.0000, 0.0000, 0.5000), Sb at (0.5000, 0.5000, 0.5000) and S at (0.0000, 0.0000, 0.0000).

The value obtained for the uncorrected formation energy is -1.20 eV per atom. For the magnetic moment, the calculation gives 0.0 μB per cell. As for the total DFT energy (no corrections): -23.0 eV for the cell shown.

=====

No. 6
This record from Alexandria describes a relaxed LiLa2ScS5 crystal. The functional is GGA-PBE.

It has space group Cmc2_1 (No. 36), with a = 3.9903 Å, b = 16.4507 Å, c = 11.7901 Å, α = 90.00°, β = 90.00° and γ = 90.00°. The inequivalent atoms are Li at (0.0000, 0.0471, 0.0000), La at (0.0000, 0.3710, 0.8390), La at (0.0000, 0.3933, 0.2207), Sc at (0.0000, 0.3004, 0.5454), S at (0.0000, 0.0030, 0.3141), S at (0.0000, 0.1421, 0.5357), S at (0.0000, 0.1901, 0.8976), S at (0.0000, 0.2157, 0.1940) and S at (0.0000, 0.4457, 0.5988).

The value obtained for the uncorrected formation energy is -1.97 eV per atom. For the magnetic moment, the calculation gives 0.0 μB per cell. As for the total DFT energy (no corrections): -225.8 eV for the cell shown.

=====

No. 7
This record from Alexandria describes a relaxed LiLaSeS crystal. The functional is GGA-PBE.

It has space group P4/nmm (No. 129, origin choice 2), with a = 4.6007 Å, b = 4.6007 Å, c = 8.8628 Å, α = 90.00°, β = 90.00° and γ = 90.00°. The inequivalent atoms are Li at (0.2500, 0.7500, 0.0000), La at (0.2500, 0.2500, 0.3228), Se at (0.2500, 0.2500, 0.8613) and S at (0.2500, 0.7500, 0.5000).

The value obtained for the uncorrected formation energy is -1.67 eV per atom. For the magnetic moment, the calculation gives 0.0 μB per cell. As for the total DFT energy (no corrections): -42.2 eV for the cell shown.

=====

No. 8
This record from Alexandria describes a relaxed LiLa2SeS crystal. The functional is GGA-PBE.

It has space group P4/mmm (No. 123), with a = 5.7148 Å, b = 5.7148 Å, c = 4.2873 Å, α = 90.00°, β = 90.00° and γ = 90.00°. The inequivalent atoms are Li at (0.0000, 0.0000, 0.0000), La at (0.0000, 0.5000, 0.5000), Se at (0.0000, 0.0000, 0.5000) and S at (0.5000, 0.5000, 0.0000).

The value obtained for the uncorrected formation energy is -0.92 eV per atom. For the magnetic moment, the calculation gives 0.5 μB per cell. As for the total DFT energy (no corrections): -24.0 eV for the cell shown.

=====

No. 9
This record from Alexandria describes a relaxed Li2La3Se4S2 crystal. The functional is GGA-PBE.

It has space group I4/mmm (No. 139), with a = 4.7671 Å, b = 4.7671 Å, c = 23.5536 Å, α = 90.00°, β = 90.00° and γ = 90.00°. The inequivalent atoms are Li at (0.0000, 0.0000, 0.1102), La at (0.0000, 0.0000, 0.3250), La at (0.0000, 0.0000, 0.5000), Se at (0.0000, 0.5000, 0.0830) and S at (0.0000, 0.0000, 0.2082).

The value obtained for the uncorrected formation energy is -1.61 eV per atom. For the magnetic moment, the calculation gives 0.0 μB per cell. As for the total DFT energy (no corrections): -117.0 eV for the cell shown.

=====

No. 10
This record from Alexandria describes a relaxed Li2La3Se2S4 crystal. The functional is GGA-PBE.

It has space group I4/mmm (No. 139), with a = 4.6002 Å, b = 4.6002 Å, c = 23.5217 Å, α = 90.00°, β = 90.00° and γ = 90.00°. The inequivalent atoms are Li at (0.0000, 0.0000, 0.0994), La at (0.0000, 0.0000, 0.3326), La at (0.0000, 0.0000, 0.5000), Se at (0.0000, 0.0000, 0.2051) and S at (0.0000, 0.5000, 0.0796).

The value obtained for the uncorrected formation energy is -1.71 eV per atom. For the magnetic moment, the calculation gives 0.0 μB per cell. As for the total DFT energy (no corrections): -121.8 eV for the cell shown.

=====

No. 11
This record from Alexandria describes a relaxed LiLaSmS3 crystal. The functional is GGA-PBE.

It has space group P2_1/m (No. 11), with a = 8.3178 Å, b = 3.9407 Å, c = 8.5923 Å, α = 90.00°, β = 102.30° and γ = 90.00°. The inequivalent atoms are Li at (0.0873, 0.2500, 0.0850), La at (0.1817, 0.2500, 0.7203), Sm at (0.3387, 0.7500, 0.3340), S at (0.0986, 0.2500, 0.3646), S at (0.2064, 0.7500, 0.9977) and S at (0.4240, 0.7500, 0.6727).

The value obtained for the uncorrected formation energy is -1.89 eV per atom. For the magnetic moment, the calculation gives 0.0 μB per cell. As for the total DFT energy (no corrections): -70.5 eV for the cell shown.

=====

No. 12
This record from Alexandria describes a relaxed Li2LaSmS4 crystal. The functional is GGA-PBE.

It has space group P2/m (No. 10), with a = 6.6253 Å, b = 4.0822 Å, c = 7.0764 Å, α = 90.00°, β = 110.85° and γ = 90.00°. The inequivalent atoms are Li at (0.0000, 0.0000, 0.0000), Li at (0.0000, 0.5000, 0.5000), La at (0.5000, 0.0000, 0.5000), Sm at (0.5000, 0.5000, 0.0000), S at (0.2434, 0.5000, 0.2412) and S at (0.2449, 0.0000, 0.7544).

The value obtained for the uncorrected formation energy is -1.82 eV per atom. For the magnetic moment, the calculation gives 0.0 μB per cell. As for the total DFT energy (no corrections): -44.5 eV for the cell shown.

=====

Q: What is the formula in the eleventh record?
A: LiLaSmS3

=====

Q: The lowest total DFT energy (no corrections) belongs to which entry?
A: Li3La3SbS8